# CoPt2I, PBEsol geometry, DFT SCAN
# calculated density	14.7	Mg/m³
# DOS(E_F)	11.3	states/eV per cell
# formation energy without anion corrections	684	meV per atom
data_CoPt2I
_chemical_formula_sum 'Co4 Pt8 I4'
_cell_length_a 6.390
_cell_length_b 6.390
_cell_length_c 6.390
_cell_angle_alpha 90.00
_cell_angle_beta 90.00
_cell_angle_gamma 90.00
_symmetry_space_group_name_H-M 'F m -3 m'
_symmetry_Int_Tables_number 225
_symmetry_space_group_name_Hall '-F 4 2 3'
loop_
_atom_site_label
_atom_site_type_symbol
_atom_site_fract_x
_atom_site_fract_y
_atom_site_fract_z
Co1 Co 0.000 0.000 0.000
Pt1 Pt 0.250 0.250 0.250
I1 I 0.000 0.000 0.500